# Al2FeNi

A geometry-optimized Al2FeNi structure (PBE-GGA, the Alexandria database).

As for the space group: No. 123.

abc: 2.893 6.361 5.806
angles: 90.00 90.00 117.07
Fractional coordinates of all 8 atoms:
Fe 0.000 0.000 0.750
Al 0.740 0.240 0.500
Ni 0.500 0.500 0.750
Fe 0.000 0.000 0.250
Ni 0.500 0.500 0.250
Al 0.260 0.760 0.000
Al 0.740 0.240 0.000
Al 0.260 0.760 0.500

# Fe2TcPt

A geometry-optimized Fe2TcPt structure (PBE-GGA, the Alexandria database).

As for the space group: No. 225.

abc: 4.176 4.176 4.176
angles: 60.00 60.00 60.00
Fractional coordinates of all 4 atoms:
Fe 0.250 0.250 0.250
Tc 0.000 0.000 0.000
Fe 0.750 0.750 0.750
Pt 0.500 0.500 0.500

# NpPtPbAu

A geometry-optimized NpPtPbAu structure (PBE-GGA, the Alexandria database).

As for the space group: No. 216.

abc: 4.998 4.998 4.998
angles: 60.00 60.00 60.00
Site moments in Bohr magnetons follow the coordinates.
Fractional coordinates of all 4 atoms:
Au 0.750 0.750 0.750  0.00
Np 0.000 0.000 0.000  3.77
Pb 0.500 0.500 0.500  0.02
Pt 0.250 0.250 0.250  -0.09

# BeTlAu2

A geometry-optimized BeTlAu2 structure (PBE-GGA, the Alexandria database).

As for the space group: No. 71.

abc: 5.507 5.507 5.507
angles: 147.65 119.52 70.27
Fractional coordinates of all 4 atoms:
Au 0.557 0.557 0.000
Tl 0.250 0.750 0.500
Be 0.750 0.250 0.500
Au 0.943 0.943 0.000

Calculated total energy (computed, eV/atom): -5.954; -8.066; -6.685; -3.079
Calculated volume (computed, Å³/atom): 11.9; 12.9; 22.1; 19.2
Energy of formation from the pure elements (computed, eV per atom): -0.521; 0.268; -0.193; 0.083